VASP calculation (PBE+U) on an optimized crystal structure of Ba3VGe2O9.

Lattice parameters (Å, degrees): 5.6481 5.6481 6.8812 90.00 90.00 120.00
Closest atoms and distances in Å follow each position.
Element x y z (fractional)
Ba 0.3333 0.6667 0.6693  12 O 2.80-2.82
Ba 0.0000 0.0000 0.0000  12 O 2.82-2.83
Ba 0.6667 0.3333 0.3307  12 O 2.80-2.82
V 0.0000 0.0000 0.5000  6 O 2.01
Ge 0.3333 0.6667 0.1687  6 O 1.96-2.00
Ge 0.6667 0.3333 0.8313  6 O 1.96-2.00
O 0.8308 0.1692 0.6671  1 Ge 1.96, 1 V 2.01
O 0.8308 0.6617 0.6671  1 Ge 1.96, 1 V 2.01
O 0.3383 0.1692 0.6671  1 Ge 1.96, 1 V 2.01
O 0.6617 0.8308 0.3329  1 Ge 1.96, 1 V 2.01
O 0.1692 0.3383 0.3329  1 Ge 1.96, 1 V 2.01
O 0.1692 0.8308 0.3329  1 Ge 1.96, 1 V 2.01
O 0.5000 0.0000 0.0000  2 Ge 2.00
O 0.0000 0.5000 0.0000  2 Ge 2.00
O 0.5000 0.5000 0.0000  2 Ge 2.00

Summary:
The total energy comes out at -6.640 eV per atom. The mass density is 6570 kg/m³. Its symmetry is P-3m1 (164).